This record from Alexandria via LeMat-Bulk describes a geometry-optimized Zr2MoP structure. The functional is GGA-PBE.

Results
Energy relative to the elements, eV/atom: -0.261
Calculated total energy, eV for the cell shown: -68.8

Structure (CIF):
```
data_Zr2MoP
_symmetry_space_group_name_H-M 'I 4/m m m'
_symmetry_Int_Tables_number 139
_symmetry_space_group_name_Hall '-I 4 2'
_cell_length_a 4.3443
_cell_length_b 4.3443
_cell_length_c 7.5554
_cell_angle_alpha 90.00
_cell_angle_beta 90.00
_cell_angle_gamma 90.00
loop_
_atom_site_label
_atom_site_fract_x
_atom_site_fract_y
_atom_site_fract_z
Zr1 0.0000 0.5000 0.2500
Mo1 0.0000 0.0000 0.0000
P1 0.0000 0.0000 0.5000
```